No. 1
PBE CaMg2Os, relaxed; space group = No. 166; calculated formation energy = 0.425 eV/atom; calculated total energy = -44.2 eV for the cell shown; magnetization = 0.00 μB/cell; density = 5.619 g/cm³
1.0
3.075 0.000 0.000
-1.538 2.663 0.000
0.000 0.000 30.190
Ca Mg Os
3 6 3
Cartesian
0.000 0.000 0.000
0.000 1.776 20.126
1.538 0.888 10.063
0.000 0.000 7.134
0.000 0.000 23.055
0.000 1.776 12.992
0.000 1.776 27.261
1.538 0.888 2.929
1.538 0.888 17.197
0.000 0.000 15.095
0.000 1.776 5.032
1.538 0.888 25.158

---

No. 2
PBE Ce5NdBi3, relaxed; space group = No. 193; calculated formation energy = -0.472 eV/atom; calculated total energy = -100.7 eV for the cell shown; magnetization = 11.40 μB/cell; density = 9.070 g/cm³
1.0
9.693 0.000 0.000
-4.847 8.394 0.000
0.000 0.000 6.623
Ce Nd Bi
10 2 6
Cartesian
-1.655 2.866 1.656
-3.192 5.529 4.967
0.000 5.596 0.000
0.000 5.596 3.312
3.309 0.000 1.656
1.655 2.866 4.967
6.384 0.000 4.967
3.192 5.529 1.656
4.847 2.798 0.000
4.847 2.798 3.312
0.000 0.000 0.000
0.000 0.000 3.312
-1.590 2.755 4.967
-3.256 5.640 1.656
3.181 0.000 4.967
1.590 2.755 1.656
6.512 0.000 1.656
3.256 5.640 4.967

---

No. 3
PBE GaGePb2, relaxed; space group = No. 123; calculated formation energy = 0.168 eV/atom; calculated total energy = -14.4 eV for the cell shown; magnetization = 0.00 μB/cell; density = 8.952 g/cm³
1.0
3.790 0.000 0.000
0.000 3.790 0.000
0.000 0.000 7.191
Ga Ge Pb
1 1 2
Cartesian
0.000 0.000 0.000
0.000 0.000 3.596
1.895 1.895 1.894
1.895 1.895 5.298

---

No. 4
PBE CrTe2P, relaxed; space group = No. 122; calculated total energy = -78.8 eV for the cell shown; magnetization = 16.51 μB/cell; density = 4.605 g/cm³; formation energy without anion corrections = 0.402 eV per atom
1.0
5.886 0.000 0.000
0.000 5.886 0.000
0.000 0.000 14.081
Cr Te P
4 8 4
Cartesian
0.000 0.000 0.000
0.000 2.943 3.520
2.943 0.000 10.561
2.943 2.943 7.040
1.471 1.471 1.760
1.472 1.471 8.800
1.471 4.413 5.280
1.471 4.415 12.321
4.414 1.472 5.280
4.414 1.471 12.321
4.415 4.414 1.760
4.413 4.414 8.800
0.000 0.000 7.040
0.000 2.943 10.561
2.943 0.000 3.520
2.943 2.943 0.000

---

No. 5
PBE K3Rb3ErBr8, relaxed; space group = No. 166; calculated total energy = -49.3 eV for the cell shown; magnetization = 0.53 μB/cell; density = 3.038 g/cm³; formation energy without anion corrections = -1.676 eV per atom
1.0
4.809 2.776 8.052
-4.809 2.776 8.052
0.000 -5.553 8.052
K Rb Er Br
3 3 1 8
Cartesian
-2.404 -1.388 8.052
-2.404 1.388 16.104
0.000 2.776 8.052
-4.809 0.000 12.078
-2.404 1.388 4.026
2.404 1.388 4.026
0.000 0.000 0.000
0.000 -3.202 9.673
-2.773 1.601 9.673
-2.773 -1.601 14.483
0.000 0.000 6.148
0.000 0.000 18.008
2.773 1.601 9.673
2.773 -1.601 14.483
0.000 3.202 14.483

---

No. 6
PBE Mg7Si4, relaxed; space group = No. 1; calculated total energy = -65.0 eV for the cell shown; magnetization = 0.00 μB/cell; density = 2.121 g/cm³; formation energy without anion corrections = 0.033 eV per atom
1.0
5.374 0.000 0.000
0.165 6.261 0.000
0.953 0.961 13.147
Mg Si
14 8
Cartesian
0.000 0.000 0.000
0.653 6.215 6.558
1.769 1.287 9.370
1.920 6.202 3.210
2.922 4.429 8.700
2.543 2.890 3.239
2.715 4.531 0.704
3.051 1.580 6.325
2.693 1.410 0.474
3.312 4.682 5.621
4.170 6.358 11.168
4.877 3.034 10.781
5.704 3.095 7.276
5.440 3.060 0.782
0.584 4.195 4.661
1.551 5.304 11.264
2.169 3.007 11.459
4.441 1.071 8.691
4.552 4.932 2.808
4.508 1.051 2.529
5.623 5.151 9.112
5.419 1.848 4.632

---

> Among the records above, which one has the lowest calculated total energy?

Ce5NdBi3